{
  "formula": "FeSbMoPb2",
  "functional": "PBE-GGA",
  "state": "relaxed",
  "formation_energy_uncorrected_ev_per_atom": 0.977,
  "cell": [[5.330, 0.000, 0.000], [0.000, 5.330, 0.000], [0.000, 0.000, 4.620]],
  "species": ["Fe", "Sb", "Mo", "Pb", "Pb"],
  "frac_coords": [[0.000, 0.000, 0.000], [0.500, 0.500, 0.000], [0.000, 0.000, 0.500], [0.000, 0.500, 0.500], [0.500, 0.000, 0.500]]
}

=====

{
  "formula": "FeSn2MoPb",
  "functional": "PBE-GGA",
  "state": "relaxed",
  "formation_enthalpy_0k_kcal_per_mol_atoms": 43.92,
  "cell": [[5.685, 0.000, 0.000], [0.000, 5.685, 0.000], [0.000, 0.000, 5.355]],
  "species": ["Fe", "Sn", "Sn", "Mo", "Pb"],
  "frac_coords": [[0.000, 0.000, 0.000], [0.000, 0.500, 0.500], [0.500, 0.000, 0.500], [0.500, 0.500, 0.000], [0.500, 0.500, 0.500]]
}

=====

{
  "formula": "FeTe2MoPb",
  "functional": "PBE-GGA",
  "state": "relaxed",
  "formation_energy_uncorrected_ev_per_atom": 0.950,
  "cell": [[5.141, 0.000, 0.000], [0.000, 5.141, 0.000], [0.000, 0.000, 4.988]],
  "species": ["Fe", "Te", "Te", "Mo", "Pb"],
  "frac_coords": [[0.000, 0.000, 0.000], [0.000, 0.500, 0.000], [0.500, 0.000, 0.000], [0.500, 0.500, 0.500], [0.000, 0.000, 0.500]]
}

=====

{
  "formula": "FeMo2Pd",
  "functional": "PBE-GGA",
  "state": "relaxed",
  "de_polymorph_mev_per_atom": 0,
  "formation_enthalpy_0k_kcal_per_mol_atoms": 10.78,
  "cell": [[0.000, 3.079, 3.079], [3.079, 0.000, 3.079], [3.079, 3.079, 0.000]],
  "species": ["Fe", "Mo", "Mo", "Pd"],
  "frac_coords": [[0.000, 0.000, 0.000], [0.250, 0.250, 0.250], [0.750, 0.750, 0.750], [0.500, 0.500, 0.500]]
}

=====

{
  "formula": "FeMo3Pd",
  "functional": "PBE-GGA",
  "state": "relaxed",
  "de_polymorph_mev_per_atom": 0,
  "formation_enthalpy_0k_kcal_per_mol_atoms": 24.19,
  "cell": [[4.423, 0.000, 0.000], [0.000, 4.423, 0.000], [0.000, 0.000, 4.423]],
  "species": ["Fe", "Mo", "Mo", "Mo", "Pd"],
  "frac_coords": [[0.000, 0.000, 0.000], [0.000, 0.000, 0.500], [0.000, 0.500, 0.000], [0.500, 0.000, 0.000], [0.500, 0.500, 0.500]]
}

=====

{
  "formula": "Fe2MoPd",
  "functional": "PBE-GGA",
  "state": "relaxed",
  "formation_enthalpy_0k_kcal_per_mol_atoms": 3.74,
  "cell": [[3.133, 0.000, 0.000], [0.000, 3.133, 0.000], [0.000, 0.000, 5.558]],
  "species": ["Fe", "Fe", "Mo", "Pd"],
  "frac_coords": [[0.000, 0.000, 0.238], [0.000, 0.000, 0.762], [0.500, 0.500, 0.000], [0.500, 0.500, 0.500]]
}

=====

{
  "formula": "FeMoPd3",
  "functional": "PBE-GGA",
  "state": "relaxed",
  "de_polymorph_mev_per_atom": 275,
  "formation_enthalpy_0k_kcal_per_mol_atoms": 39.44,
  "cell": [[4.736, 0.000, 0.000], [0.000, 4.736, 0.000], [0.000, 0.000, 4.736]],
  "species": ["Fe", "Mo", "Pd", "Pd", "Pd"],
  "frac_coords": [[0.000, 0.000, 0.000], [0.500, 0.500, 0.500], [0.000, 0.500, 0.500], [0.500, 0.000, 0.500], [0.500, 0.500, 0.000]]
}

=====

{
  "formula": "Fe2MoPd",
  "functional": "PBE-GGA",
  "state": "relaxed",
  "formation_enthalpy_0k_kcal_per_mol_atoms": 2.69,
  "cell": [[3.817, 0.000, 0.000], [0.000, 3.817, 0.000], [0.000, 0.000, 3.614]],
  "species": ["Fe", "Fe", "Mo", "Pd"],
  "frac_coords": [[0.000, 0.500, 0.000], [0.500, 0.000, 0.000], [0.000, 0.000, 0.500], [0.500, 0.500, 0.500]]
}

=====

{
  "formula": "FeMo2Pd",
  "functional": "PBE-GGA",
  "state": "relaxed",
  "de_polymorph_mev_per_atom": 130,
  "formation_enthalpy_0k_kcal_per_mol_atoms": 13.79,
  "cell": [[-1.847, 1.847, 9.359], [1.847, -1.847, 9.359], [1.847, 1.847, -9.359]],
  "species": ["Fe", "Fe", "Mo", "Mo", "Mo", "Mo", "Pd", "Pd"],
  "frac_coords": [[0.000, 0.000, 0.000], [0.750, 0.250, 0.500], [0.105, 0.625, 0.980], [0.375, 0.355, 0.480], [0.645, 0.125, 0.020], [0.875, 0.895, 0.520], [0.250, 0.750, 0.500], [0.500, 0.500, 0.000]]
}

=====

{
  "formula": "FeMoPd",
  "functional": "PBE-GGA",
  "state": "relaxed",
  "de_polymorph_mev_per_atom": 50,
  "formation_enthalpy_0k_kcal_per_mol_atoms": 2.62,
  "cell": [[4.351, 0.000, 0.000], [-2.176, 3.768, 0.000], [0.000, 0.000, 2.625]],
  "species": ["Fe", "Mo", "Pd"],
  "frac_coords": [[0.000, 0.000, 0.000], [0.333, 0.667, 0.500], [0.667, 0.333, 0.000]]
}

=====

{
  "formula": "Fe3MoPd12",
  "functional": "PBE-GGA",
  "state": "relaxed",
  "formation_enthalpy_0k_kcal_per_mol_atoms": -1.73,
  "cell": [[3.917, 0.000, 0.000], [0.000, 3.917, 0.000], [0.000, 0.000, 15.633]],
  "species": ["Fe", "Fe", "Fe", "Mo", "Pd", "Pd", "Pd", "Pd", "Pd", "Pd", "Pd", "Pd", "Pd", "Pd", "Pd", "Pd"],
  "frac_coords": [[0.000, 0.000, 0.000], [0.000, 0.000, 0.244], [0.000, 0.000, 0.756], [0.000, 0.000, 0.500], [0.000, 0.500, 0.125], [0.000, 0.500, 0.375], [0.000, 0.500, 0.625], [0.000, 0.500, 0.875], [0.500, 0.000, 0.125], [0.500, 0.000, 0.375], [0.500, 0.000, 0.625], [0.500, 0.000, 0.875], [0.500, 0.500, 0.000], [0.500, 0.500, 0.250], [0.500, 0.500, 0.500], [0.500, 0.500, 0.750]]
}

=====

{
  "formula": "Fe2MoPd",
  "functional": "PBE-GGA",
  "state": "relaxed",
  "formation_enthalpy_0k_kcal_per_mol_atoms": 14.38,
  "cell": [[-3.325, 3.325, 2.633], [3.325, -3.325, 2.633], [3.325, 3.325, -2.633]],
  "species": ["Fe", "Fe", "Fe", "Fe", "Mo", "Mo", "Pd", "Pd"],
  "frac_coords": [[0.106, 0.625, 0.981], [0.375, 0.356, 0.481], [0.644, 0.125, 0.019], [0.875, 0.894, 0.519], [0.000, 0.000, 0.000], [0.750, 0.250, 0.500], [0.250, 0.750, 0.500], [0.500, 0.500, 0.000]]
}

=====

{
  "formula": "Fe2Mo2Pd",
  "functional": "PBE-GGA",
  "state": "relaxed",
  "formation_enthalpy_0k_kcal_per_mol_atoms": 2.06,
  "cell": [[6.961, 0.000, 0.000], [0.000, 6.961, 0.000], [0.000, 0.000, 2.819]],
  "species": ["Fe", "Fe", "Fe", "Fe", "Mo", "Mo", "Mo", "Mo", "Pd", "Pd"],
  "frac_coords": [[0.132, 0.368, 0.000], [0.368, 0.868, 0.000], [0.632, 0.132, 0.000], [0.868, 0.632, 0.000], [0.167, 0.667, 0.500], [0.333, 0.167, 0.500], [0.667, 0.833, 0.500], [0.833, 0.333, 0.500], [0.000, 0.000, 0.000], [0.500, 0.500, 0.000]]
}

=====

{
  "formula": "FeMoPd3",
  "functional": "PBE-GGA",
  "state": "relaxed",
  "de_polymorph_mev_per_atom": 0,
  "formation_enthalpy_0k_kcal_per_mol_atoms": 33.10,
  "cell": [[4.465, 0.000, 0.000], [0.000, 4.465, 0.000], [0.000, 0.000, 4.465]],
  "species": ["Fe", "Mo", "Pd", "Pd", "Pd"],
  "frac_coords": [[0.000, 0.000, 0.000], [0.500, 0.500, 0.500], [0.000, 0.000, 0.500], [0.000, 0.500, 0.000], [0.500, 0.000, 0.000]]
}

=====

{
  "formula": "FeMoPd",
  "functional": "PBE-GGA",
  "state": "relaxed",
  "de_polymorph_mev_per_atom": 0,
  "formation_enthalpy_0k_kcal_per_mol_atoms": 1.47,
  "cell": [[-1.345, 1.345, 5.951], [1.345, -1.345, 5.951], [1.345, 1.345, -5.951]],
  "species": ["Fe", "Mo", "Pd"],
  "frac_coords": [[0.000, 0.000, 0.000], [0.666, 0.666, 0.000], [0.341, 0.341, 0.000]]
}

=====

{
  "formula": "Fe2MoPd8",
  "functional": "PBE-GGA",
  "state": "relaxed",
  "formation_enthalpy_0k_kcal_per_mol_atoms": 2.77,
  "cell": [[3.598, -5.865, 0.000], [3.598, 5.865, 0.000], [-1.525, 0.000, 4.108]],
  "species": ["Fe", "Fe", "Mo", "Pd", "Pd", "Pd", "Pd", "Pd", "Pd", "Pd", "Pd"],
  "frac_coords": [[0.185, 0.815, 0.000], [0.815, 0.185, 0.000], [0.500, 0.500, 0.500], [0.117, 0.117, 0.314], [0.182, 0.417, 0.893], [0.279, 0.721, 0.500], [0.417, 0.182, 0.893], [0.583, 0.818, 0.107], [0.721, 0.279, 0.500], [0.818, 0.583, 0.107], [0.883, 0.883, 0.686]]
}

=====

{
  "formula": "Fe2MoPdRh",
  "functional": "PBE-GGA",
  "state": "relaxed",
  "formation_enthalpy_0k_kcal_per_mol_atoms": 37.60,
  "cell": [[4.533, 0.000, 0.000], [0.000, 4.533, 0.000], [0.000, 0.000, 4.670]],
  "species": ["Fe", "Fe", "Mo", "Pd", "Rh"],
  "frac_coords": [[0.000, 0.500, 0.000], [0.500, 0.000, 0.000], [0.000, 0.000, 0.500], [0.000, 0.000, 0.000], [0.500, 0.500, 0.500]]
}

=====

{
  "formula": "ScFeMo2Pd",
  "functional": "PBE-GGA",
  "state": "relaxed",
  "formation_enthalpy_0k_kcal_per_mol_atoms": 41.21,
  "cell": [[4.738, 0.000, 0.000], [0.000, 4.738, 0.000], [0.000, 0.000, 4.780]],
  "species": ["Sc", "Fe", "Mo", "Mo", "Pd"],
  "frac_coords": [[0.000, 0.000, 0.000], [0.500, 0.500, 0.000], [0.000, 0.500, 0.500], [0.500, 0.000, 0.500], [0.000, 0.000, 0.500]]
}

=====

{
  "formula": "SrFeMo2Pd",
  "functional": "PBE-GGA",
  "state": "relaxed",
  "formation_enthalpy_0k_kcal_per_mol_atoms": 47.16,
  "cell": [[4.792, 0.000, 0.000], [0.000, 4.792, 0.000], [0.000, 0.000, 5.449]],
  "species": ["Sr", "Fe", "Mo", "Mo", "Pd"],
  "frac_coords": [[0.000, 0.000, 0.000], [0.500, 0.500, 0.000], [0.000, 0.500, 0.500], [0.500, 0.000, 0.500], [0.000, 0.000, 0.500]]
}

=====

{
  "formula": "FeTcMo2Pd",
  "functional": "PBE-GGA",
  "state": "relaxed",
  "formation_enthalpy_0k_kcal_per_mol_atoms": 46.96,
  "cell": [[4.670, 0.000, 0.000], [0.000, 4.670, 0.000], [0.000, 0.000, 4.432]],
  "species": ["Fe", "Tc", "Mo", "Mo", "Pd"],
  "frac_coords": [[0.000, 0.000, 0.000], [0.500, 0.500, 0.000], [0.000, 0.500, 0.500], [0.500, 0.000, 0.500], [0.000, 0.000, 0.500]]
}